1) K2NaBi2 after structural relaxation, computed with PBE.

a b c (Å): 10.5794 10.5794 3.4496
angles (deg): 90.00 90.00 90.00
Closest atoms and distances in Å follow each position.
Space group P4/mbm (No. 127)
One atom of each set of equivalent atoms:
K (0.1182, 0.3818, 0.0000) [4 per cell]  3 K 3.45-3.54, 6 Bi 3.48-3.66
Na (0.0000, 0.0000, 0.0000) [2 per cell]  2 Na 3.45
Bi (0.1801, 0.6801, 0.5000) [4 per cell]  2 Bi 3.45, 6 K 3.48-3.66



2) K2NaBi2 after structural relaxation, computed with PBE.

a b c (Å): 11.9773 6.9682 10.0236
angles (deg): 90.00 101.24 90.00
Closest atoms and distances in Å follow each position.
Space group C2/c (No. 15)
One atom of each set of equivalent atoms:
K (0.1539, 0.1430, 0.1543) [8 per cell]  6 Bi 3.74-3.84, 2 Na 3.92-4.08
Na (0.0000, 0.3958, 0.7500) [4 per cell]  4 Bi 3.25-3.27
Bi (0.1378, 0.3498, 0.5031) [8 per cell]  1 Bi 3.04, 2 Na 3.25-3.27



3) K2NaBi2 after structural relaxation, computed with PBE.

a b c (Å): 8.4980 8.4980 5.5583
angles (deg): 90.00 90.00 90.00
Closest atoms and distances in Å follow each position.
Space group P4/mbm (No. 127)
One atom of each set of equivalent atoms:
K (0.1682, 0.3318, 0.0000) [4 per cell]  6 Bi 3.72-3.75, 1 K 4.04
Na (0.0000, 0.0000, 0.5000) [2 per cell]  4 Bi 3.35
Bi (0.1259, 0.6259, 0.5000) [4 per cell]  1 Bi 3.03, 2 Na 3.35



Least stable: 1)